[1]
Here is a geometry-optimized Hf2MnInBi structure from the Alexandria database. Energies are from GGA-PBE.

Unit cell a=5.300 b=5.300 c=4.887 alpha=90.00 beta=90.00 gamma=90.00
Space group P4/mmm (No. 123)
Unique sites:
Hf 0.000 0.500 0.000 (multiplicity 2)
Mn 0.000 0.000 0.500 (multiplicity 1)
In 0.000 0.000 0.000 (multiplicity 1)
Bi 0.500 0.500 0.500 (multiplicity 1)

Output
The value obtained for the density of states at the Fermi level is 4.87 states/eV per cell. For the calculated formation energy, the calculation gives 982 meV/atom. The total energy is -6.1570 eV per atom.



[2]
Here is a geometry-optimized Hf2InBiN structure from the Alexandria database. Energies are from GGA-PBE.

Unit cell a=5.530 b=5.530 c=4.275 alpha=90.00 beta=90.00 gamma=90.00
Space group P4/mmm (No. 123)
Unique sites:
Hf 0.000 0.500 0.000 (multiplicity 2)
In 0.000 0.000 0.500 (multiplicity 1)
Bi 0.500 0.500 0.000 (multiplicity 1)
N 0.500 0.500 0.500 (multiplicity 1)

Output
The value obtained for the density of states at the Fermi level is 5.53 states/eV per cell. The total energy is -5.5312 eV per atom. The raw formation energy is 1439 meV per atom.



[3]
Here is a geometry-optimized HfInBiO6 structure from the Alexandria database. Energies are from GGA-PBE.

Unit cell a=5.4949 b=5.4949 c=9.3175 alpha=90.00 beta=90.00 gamma=120.00
Space group P-31c (No. 163)
Unique sites:
Hf 0.3333 0.6667 0.2500 (multiplicity 2)
In 0.0000 0.0000 0.0000 (multiplicity 2)
Bi 0.3333 0.6667 0.7500 (multiplicity 2)
O 0.0075 0.3471 0.1299 (multiplicity 12)

Output
The total energy is -6.9613 eV per atom. The raw formation energy is -1814 meV per atom.